# 1
A geometry-optimized CrPdO2 structure, computed with PBE+U.

Computed properties:
Space-group type ... No. 33
Electronic total energy ... -6.515 eV/atom
Volume ... 13.13 Å³ per atom

The structure in extended XYZ format:
```
16
Lattice="-2.288 4.712 -0.653 -5.119 -1.971 3.707 2.784 2.034 4.925" Properties=species:S:1:pos:R:3 pbc="T T T"
Cr -4.745 -1.359 3.313
Cr -1.217 5.156 2.297
Cr -1.562 2.226 3.702
Cr -4.400 1.570 1.908
O -5.152 0.545 3.397
O -0.324 3.607 3.073
O -0.352 0.799 4.248
O -5.124 3.352 2.221
O -4.728 4.295 6.128
O -0.103 0.327 1.483
O -2.550 2.181 2.100
O -2.281 2.441 5.510
Pd 0.972 1.550 5.644
Pd -4.586 3.962 4.120
Pd -3.894 1.432 4.774
Pd 0.280 4.080 4.990
```



# 2
A geometry-optimized CrPdO2 structure, computed with PBE+U.

Computed properties:
Space-group type ... No. 1
Electronic total energy ... -6.517 eV/atom
Volume ... 13.50 Å³ per atom

The structure in extended XYZ format:
```
8
Lattice="-3.558 -0.870 3.533 -1.281 -1.001 -5.037 1.763 -3.818 3.400" Properties=species:S:1:pos:R:3 pbc="T T T"
Cr -2.280 -1.413 -0.897
Cr -2.566 -2.574 2.190
Pd 1.037 -3.369 1.300
Pd 0.176 -4.309 -1.075
O -0.757 -2.507 -1.207
O -2.362 -1.056 1.010
O -0.940 -3.468 1.809
O -3.653 -2.781 -1.097
```



# 3
A geometry-optimized Cr2PdO6 structure, computed with PBE+U.

Computed properties:
Space-group type ... No. 58
Electronic total energy ... -6.683 eV/atom
Volume ... 10.90 Å³ per atom

The structure in extended XYZ format:
```
18
Lattice="4.594 0.000 0.000 0.000 5.176 -0.262 0.000 0.417 8.231" Properties=species:S:1:pos:R:3 pbc="T T T"
Cr 2.297 0.078 1.546
Cr 0.000 2.718 2.438
Cr 4.593 2.875 5.531
Cr 2.297 5.515 6.422
Pd 2.297 2.588 -0.131
Pd 0.000 0.208 4.115
O 1.086 1.182 5.499
O 1.086 1.037 2.641
O 1.385 0.811 -0.041
O 3.682 1.986 4.025
O 3.382 1.760 1.344
O 3.383 2.032 6.716
O 3.508 4.411 2.470
O 3.508 4.556 5.328
O 3.208 4.365 -0.221
O 0.912 3.607 3.943
O 1.211 3.833 6.625
O 1.211 3.561 1.252
```



# 4
A geometry-optimized Cr3PdO structure, computed with PBE+U.

Computed properties:
Space-group type ... No. 221
Electronic total energy ... -5.365 eV/atom
Volume ... 24.40 Å³ per atom

The structure in extended XYZ format:
```
5
Lattice="-3.416 1.594 -3.223 -3.541 -2.265 2.632 -0.626 4.114 2.698" Properties=species:S:1:pos:R:3 pbc="T T T"
Cr -1.771 -1.132 1.316
Cr -0.313 2.057 1.349
Cr -1.708 0.797 -1.612
O -3.791 1.722 1.054
Pd 0.000 0.000 0.000
```



# 5
A geometry-optimized CrPdO2 structure, computed with PBE+U.

Computed properties:
Space-group type ... No. 15
Electronic total energy ... -6.420 eV/atom
Volume ... 14.60 Å³ per atom

The structure in extended XYZ format:
```
8
Lattice="-1.220 5.056 0.828 -0.779 4.827 -4.359 -3.192 -4.492 -3.542" Properties=species:S:1:pos:R:3 pbc="T T T"
Cr -3.557 1.634 -3.231
Cr -1.634 3.757 -3.843
O -0.783 0.147 -1.029
O -2.957 2.645 -4.785
O -4.408 5.244 -6.045
O -2.234 2.746 -2.288
Pd -2.838 6.335 -4.610
Pd -2.353 -0.944 -2.464
```



# 6
A geometry-optimized CrPdO2 structure, computed with PBE+U.

Computed properties:
Space-group type ... No. 62
Electronic total energy ... -6.629 eV/atom
Volume ... 11.74 Å³ per atom

The structure in extended XYZ format:
```
16
Lattice="4.880 0.000 0.000 0.000 3.888 0.000 0.000 0.000 9.896" Properties=species:S:1:pos:R:3 pbc="T T T"
Cr 0.188 0.972 6.148
Cr 2.252 2.916 1.200
Cr 4.692 2.916 3.748
Cr 2.628 0.972 8.696
O 4.523 0.972 4.130
O 2.797 2.916 9.078
O 0.357 2.916 5.766
O 2.083 0.972 0.818
O 0.789 0.972 8.030
O 1.651 2.916 3.082
O 4.091 2.916 1.865
O 3.230 0.972 6.813
Pd 2.226 0.972 4.102
Pd 0.214 2.916 9.050
Pd 2.654 2.916 5.793
Pd 4.666 0.972 0.845
```



# 7
A geometry-optimized CrPdO2 structure, computed with PBE+U.

Computed properties:
Space-group type ... No. 160
Electronic total energy ... -6.328 eV/atom
Volume ... 13.58 Å³ per atom

The structure in extended XYZ format:
```
4
Lattice="2.256 -2.848 4.680 3.923 -3.963 2.001 4.751 -1.031 3.386" Properties=species:S:1:pos:R:3 pbc="T T T"
Cr 10.897 -7.817 10.036
O 1.182 -0.848 1.089
O 7.005 -5.025 6.452
Pd 5.520 -3.960 5.084
```



# 8
A geometry-optimized CrPd3O structure, computed with PBE+U.

Computed properties:
Space-group type ... No. 221
Electronic total energy ... -3.829 eV/atom
Volume ... 18.87 Å³ per atom

The structure in extended XYZ format:
```
5
Lattice="4.552 0.000 0.000 0.000 4.552 0.000 0.000 0.000 4.552" Properties=species:S:1:pos:R:3 pbc="T T T"
Cr 0.000 0.000 0.000
O 2.276 2.276 2.276
Pd 0.000 2.276 0.000
Pd 0.000 0.000 2.276
Pd 2.276 0.000 0.000
```



| no. | DOS at the Fermi energy (states/eV/f.u.) |
| --- | --- |
| 1 | 1.99 |
| 2 | 2.22 |
| 3 | 0.49 |
| 4 | 4.29 |
| 5 | 2.43 |
| 6 | 1.22 |
| 7 | 1.93 |
| 8 | 7.58 |